## one
A plane-wave DFT calculation with GGA-PBE was carried out for crystalline NaNiSeN2 at its relaxed geometry.

DOS at the Fermi energy   1.3745 states/eV/atom
Mass density   4.340 g/cm³
SG   P4/mmm (123)
M_tot   0.0 Bohr magnetons per cell

```
NaNiSeN2
1.0
3.7543 0.0000 0.0000
0.0000 3.7543 0.0000
0.0000 0.0000 5.1208
Ni N Se Na
1 2 1 1
Direct
0.0000 0.0000 0.0000
0.0000 0.5000 0.0000
0.5000 0.0000 0.0000
0.0000 0.0000 0.5000
0.5000 0.5000 0.5000
```

=====

## two
A plane-wave DFT calculation with GGA-PBE was carried out for crystalline NaNiSeN2 at its relaxed geometry.

DOS at the Fermi energy   1.3436 states/eV/atom
Mass density   3.132 g/cm³
SG   P4/mmm (123)
M_tot   6.7 Bohr magnetons per cell

```
NaNiSeN2
1.0
4.2027 0.0000 0.0000
0.0000 4.2027 0.0000
0.0000 0.0000 5.6629
Ni N Se Na
1 2 1 1
Direct
0.5000 0.5000 0.5000
0.0000 0.5000 0.0000
0.5000 0.0000 0.0000
0.0000 0.0000 0.5000
0.0000 0.0000 0.0000
```

=====

It turns out one is the most stable, with the second structure 1.265 eV/atom higher.